Material: CoRuO4
Method: DFT, PBE+U
State: relaxed

a b c (Å): 4.482 5.519 5.481
angles (deg): 111.84 90.00 90.00
Fractional coordinates of all 12 atoms:
Co (0.500, 0.500, 0.000)
Co (0.000, 0.000, 0.000)
Ru (0.000, 0.500, 0.500)
Ru (0.500, 0.000, 0.500)
O (0.302, 0.856, 0.165)
O (0.198, 0.356, 0.165)
O (0.716, 0.666, 0.349)
O (0.216, 0.834, 0.651)
O (0.784, 0.166, 0.349)
O (0.284, 0.334, 0.651)
O (0.802, 0.644, 0.835)
O (0.698, 0.144, 0.835)

Calculated values
Calculated total energy (eV per atom): -6.593
Symmetry: P2_1/c, No. 14
D(E_F) (states/eV/cell): 5.4